(1)
## Re6Tc3Os (PBE)

Data for a relaxed structure of Re6Tc3Os.

Cell: 5.058 7.832 8.092 Å, 90.00 90.11 90.00°
Atoms (fractional coordinates):
Re 0.498 0.158 0.062
Re 0.998 0.343 0.936
Re 0.235 0.394 0.250
Re 0.498 0.157 0.436
Re 0.502 0.842 0.938
Re 0.502 0.843 0.564
Re 0.002 0.658 0.438
Re 0.265 0.894 0.250
Re 0.735 0.106 0.750
Re 0.765 0.606 0.750
Re 0.998 0.342 0.562
Re 0.002 0.657 0.064
Tc 0.739 0.889 0.250
Tc 0.500 0.500 0.000
Tc 0.761 0.389 0.250
Tc 0.000 0.000 0.500
Tc 0.261 0.111 0.750
Tc 0.239 0.611 0.750
Os 0.500 0.500 0.500
Os 0.000 0.000 0.000

Output
energy of formation	49	kJ per mole of atoms
space group	P2_1/c

(2)
## Re2TcOs (PBE)

Data for a relaxed structure of Re2TcOs.

Cell: 4.515 2.702 4.927 Å, 85.10 90.00 90.00°
Atoms (fractional coordinates):
Tc 0.500 0.250 0.250
Os 0.500 0.750 0.750
Re 0.000 0.052 0.000
Re 0.000 0.448 0.500

Output
E above lowest polymorph	406	meV/atom
energy of formation	37	kJ per mole of atoms
space group	P2/m

(3)
## ReTcOs2 (PBE)

Data for a relaxed structure of ReTcOs2.

Cell: 4.753 4.753 2.737 Å, 90.00 90.00 109.71°
Atoms (fractional coordinates):
Os 0.500 0.500 0.000
Os 0.000 0.000 0.000
Re 0.500 0.000 0.500
Tc 0.000 0.500 0.500

Output
E above lowest polymorph	128	meV/atom
energy of formation	3	kJ per mole of atoms
space group	Cmmm

Question: Number 2 is which compound?
Answer: Re2TcOs

Question: energy of formation of number 3 (ReTcOs2)?
Answer: 3 kJ per mole of atoms

Question: Look up the energy of formation of the third one.
Answer: 3 kJ per mole of atoms

Question: What is the formula in the first record?
Answer: Re6Tc3Os